Density functional theory data (PBE) for an optimized crystal structure of Zr2GaNi2Sb.

Uncorrected energy: -6.60 eV/atom
Symmetry: I-42d
Size of the total moment: 0.0 μB/f.u.

Lattice parameters (Å, degrees): 7.3920 7.3920 7.3920 131.78 131.78 70.58
Positions (direct):
1 Zr 0.2430 0.2430 0.0000
2 Zr 0.5070 0.0070 0.5000
3 Zr 0.7570 0.7570 0.0000
4 Zr 0.9930 0.4930 0.5000
5 Ga 0.0000 0.0000 0.0000
6 Ga 0.7500 0.2500 0.5000
7 Ni 0.1244 0.1250 0.4994
8 Ni 0.3750 0.8756 0.0006
9 Ni 0.6256 0.6250 0.5006
10 Ni 0.8750 0.3744 0.9994
11 Sb 0.2500 0.7500 0.5000
12 Sb 0.5000 0.5000 0.0000

Density functional theory data (PBE) for an optimized crystal structure of Zr2GaNi4Sb.

Uncorrected energy: -6.39 eV/atom
Symmetry: P-3m1
Size of the total moment: 0.0 μB/f.u.

Lattice parameters (Å, degrees): 4.1815 4.1815 8.1980 90.00 90.00 120.00
Positions (direct):
1 Zr 0.3333 0.6667 0.2604
2 Zr 0.6667 0.3333 0.7396
3 Ga 0.0000 0.0000 0.5000
4 Ni 0.3333 0.6667 0.5832
5 Ni 0.3333 0.6667 0.9033
6 Ni 0.6667 0.3333 0.0967
7 Ni 0.6667 0.3333 0.4168
8 Sb 0.0000 0.0000 0.0000

Density functional theory data (PBE) for an optimized crystal structure of Sc2GaNi3.

Uncorrected energy: -6.01 eV/atom
Symmetry: P6_3/mmc
Size of the total moment: 0.0 μB/f.u.

Lattice parameters (Å, degrees): 5.0450 5.0450 7.8787 90.00 90.00 120.00
Positions (direct):
1 Sc 0.3333 0.6667 0.0601
2 Sc 0.3333 0.6667 0.4399
3 Sc 0.6667 0.3333 0.5601
4 Sc 0.6667 0.3333 0.9399
5 Ga 0.0000 0.0000 0.0000
6 Ga 0.0000 0.0000 0.5000
7 Ni 0.1710 0.3420 0.7500
8 Ni 0.1710 0.8290 0.7500
9 Ni 0.3420 0.1710 0.2500
10 Ni 0.6580 0.8290 0.7500
11 Ni 0.8290 0.1710 0.2500
12 Ni 0.8290 0.6580 0.2500

Density functional theory data (PBE) for an optimized crystal structure of ScGaNi2.

Uncorrected energy: -5.49 eV/atom
Symmetry: F-43m
Size of the total moment: 0.0 μB/f.u.

Lattice parameters (Å, degrees): 4.3050 4.3050 4.3050 60.00 60.00 60.00
Positions (direct):
1 Sc 0.0000 0.0000 0.0000
2 Ga 0.7500 0.7500 0.7500
3 Ni 0.2500 0.2500 0.2500
4 Ni 0.5000 0.5000 0.5000

Density functional theory data (PBE) for an optimized crystal structure of ScGa2Ni.

Uncorrected energy: -4.89 eV/atom
Symmetry: F-43m
Size of the total moment: 0.0 μB/f.u.

Lattice parameters (Å, degrees): 4.4273 4.4273 4.4273 60.00 60.00 60.00
Positions (direct):
1 Sc 0.0000 0.0000 0.0000
2 Ga 0.5000 0.5000 0.5000
3 Ga 0.7500 0.7500 0.7500
4 Ni 0.2500 0.2500 0.2500

Density functional theory data (PBE) for an optimized crystal structure of Sc2GaNi.

Uncorrected energy: -5.59 eV/atom
Symmetry: F-43m
Size of the total moment: 1.0 μB/f.u.

Lattice parameters (Å, degrees): 4.5446 4.5446 4.5446 60.00 60.00 60.00
Positions (direct):
1 Sc 0.0000 0.0000 0.0000
2 Sc 0.2500 0.2500 0.2500
3 Ga 0.5000 0.5000 0.5000
4 Ni 0.7500 0.7500 0.7500

Density functional theory data (PBE) for an optimized crystal structure of ScGa2Ni2.

Uncorrected energy: -5.18 eV/atom
Symmetry: I4/mmm
Size of the total moment: 0.0 μB/f.u.

Lattice parameters (Å, degrees): 5.8721 5.8721 5.8721 142.08 142.08 54.71
Positions (direct):
1 Sc 0.0000 0.0000 0.0000
2 Ga 0.3825 0.3825 0.0000
3 Ga 0.6175 0.6175 0.0000
4 Ni 0.2500 0.7500 0.5000
5 Ni 0.7500 0.2500 0.5000

Density functional theory data (PBE) for an optimized crystal structure of ScGa2Ni.

Uncorrected energy: -4.89 eV/atom
Symmetry: F-43m
Size of the total moment: 0.0 μB/f.u.

Lattice parameters (Å, degrees): 4.4208 4.4208 4.4208 60.00 60.00 60.00
Positions (direct):
1 Sc 0.0000 0.0000 0.0000
2 Ga 0.5000 0.5000 0.5000
3 Ga 0.7500 0.7500 0.7500
4 Ni 0.2500 0.2500 0.2500